1.
This record from Alexandria via LeMat-Bulk describes B2C after structural relaxation. The functional is PBE.

Output
The value obtained for the energy relative to the lowest polymorph listed for this composition is 282.9 meV/atom. As for the total energy: -7.06 eV/atom. The calculation puts the formation energy at 0.468 eV/atom.

```
data_B2C
_chemical_formula_sum 'B8 C4'
_space_group_name_H-M_alt 'P m m 2'
_space_group_IT_number 25
_cell_length_a 2.6618
_cell_length_b 8.4852
_cell_length_c 3.9804
_cell_angle_alpha 90.00
_cell_angle_beta 90.00
_cell_angle_gamma 90.00
loop_
_space_group_symop_operation_xyz
'x,y,z'
'-x,-y,z'
'-x,y,z'
'x,-y,z'
loop_
_atom_site_label
_atom_site_type_symbol
_atom_site_fract_x
_atom_site_fract_y
_atom_site_fract_z
B1 B 0.0000 0.0000 0.0000
B2 B 0.0000 0.1214 0.3382
B3 B 0.0000 0.3719 0.9963
B4 B 0.5000 0.1780 0.6055
B5 B 0.5000 0.5000 0.5585
C1 C 0.0000 0.5000 0.2866
C2 C 0.5000 0.0000 0.7897
C3 C 0.5000 0.3357 0.8024
```



2.
This record from Alexandria via LeMat-Bulk describes Tm5Al3Cd after structural relaxation. The functional is PBE.

Output
As for the total energy: -4.14 eV/atom. The calculation puts the formation energy at -0.304 eV/atom.

```
data_Tm5Al3Cd
_chemical_formula_sum 'Tm10 Al6 Cd2'
_space_group_name_H-M_alt 'P 63/m c m'
_space_group_IT_number 193
_space_group_name_Hall '-P 6c 2'
_cell_length_a 8.9423
_cell_length_b 8.9423
_cell_length_c 6.4068
_cell_angle_alpha 90.00
_cell_angle_beta 90.00
_cell_angle_gamma 120.00
loop_
_atom_site_label
_atom_site_type_symbol
_atom_site_fract_x
_atom_site_fract_y
_atom_site_fract_z
Tm1 Tm 0.0000 0.3009 0.2500
Tm2 Tm 0.3333 0.6667 0.0000
Al1 Al 0.0000 0.3643 0.7500
Cd1 Cd 0.0000 0.0000 0.0000
```



3.
This record from Alexandria via LeMat-Bulk describes ZnSb after structural relaxation. The functional is PBE.

Output
As for the total energy: -2.71 eV/atom. The value obtained for the formation energy from raw total energies is -13 meV per atom.

```
data_ZnSb
_chemical_formula_sum 'Zn2 Sb2'
_space_group_name_H-M_alt 'C 1 2 1'
_space_group_IT_number 5
_cell_length_a 5.5652
_cell_length_b 7.2388
_cell_length_c 3.2229
_cell_angle_alpha 90.00
_cell_angle_beta 125.07
_cell_angle_gamma 90.00
loop_
_space_group_symop_operation_xyz
'x,y,z'
'-x,y,-z'
'x+1/2,y+1/2,z'
'-x+1/2,y+1/2,-z'
loop_
_atom_site_label
_atom_site_type_symbol
_atom_site_fract_x
_atom_site_fract_y
_atom_site_fract_z
Zn1 Zn 0.0000 0.0000 0.0000
Sb1 Sb 0.0000 0.6872 0.5000
```



4.
This record from Alexandria via LeMat-Bulk describes TcAsSCl2 after structural relaxation. The functional is PBE.

Output
The value obtained for the energy relative to the lowest polymorph listed for this composition is 351.1 meV/atom. As for the total energy: -3.86 eV/atom. The value obtained for the formation energy from raw total energies is 710 meV per atom.

```
data_TcAsSCl2
_chemical_formula_sum 'Tc1 As1 S1 Cl2'
_space_group_name_H-M_alt 'P 4/m m m'
_space_group_IT_number 123
_space_group_name_Hall '-P 4 2'
_cell_length_a 4.9348
_cell_length_b 4.9348
_cell_length_c 4.9831
_cell_angle_alpha 90.00
_cell_angle_beta 90.00
_cell_angle_gamma 90.00
loop_
_atom_site_label
_atom_site_type_symbol
_atom_site_fract_x
_atom_site_fract_y
_atom_site_fract_z
Tc1 Tc 0.0000 0.0000 0.0000
As1 As 0.5000 0.5000 0.5000
S1 S 0.5000 0.5000 0.0000
Cl1 Cl 0.0000 0.5000 0.5000
```